Entry P
This record from Alexandria via LeMat-Bulk describes crystalline ZnIn2Sb at its relaxed geometry. The functional is PBE.

Spin magnetization ... 0.00 μB per formula unit
DOS(E_F) ... 3.22 states/eV/cell

```
data_ZnIn2Sb
_chemical_formula_sum 'Zn2 In4 Sb2'
_space_group_name_H-M_alt 'C 1 m 1'
_space_group_IT_number 8
_space_group_name_Hall 'C -2y'
_cell_length_a 10.644
_cell_length_b 3.714
_cell_length_c 5.409
_cell_angle_alpha 90.00
_cell_angle_beta 109.62
_cell_angle_gamma 90.00
loop_
_atom_site_label
_atom_site_type_symbol
_atom_site_fract_x
_atom_site_fract_y
_atom_site_fract_z
_atom_site_occupancy
Zn1 Zn 0.000 0.000 0.000 1
In1 In 0.260 0.000 0.827 1
In2 In 0.477 0.000 0.529 1
Sb1 Sb 0.207 0.500 0.277 1
```

Entry Q
This record from Alexandria via LeMat-Bulk describes crystalline ZnIn2Sb at its relaxed geometry. The functional is PBE.

Spin magnetization ... 0.00 μB per formula unit
DOS(E_F) ... 1.35 states/eV/cell

```
data_ZnIn2Sb
_chemical_formula_sum 'Zn1 In2 Sb1'
_space_group_name_H-M_alt 'P 1 m 1'
_space_group_IT_number 6
_space_group_name_Hall 'P -2y'
_cell_length_a 3.424
_cell_length_b 4.293
_cell_length_c 7.025
_cell_angle_alpha 90.00
_cell_angle_beta 102.09
_cell_angle_gamma 90.00
loop_
_atom_site_label
_atom_site_type_symbol
_atom_site_fract_x
_atom_site_fract_y
_atom_site_fract_z
_atom_site_occupancy
Zn1 Zn 0.000 0.000 0.000 1
In1 In 0.227 0.000 0.464 1
In2 In 0.583 0.500 0.176 1
Sb1 Sb 0.876 0.500 0.732 1
```

Entry R
This record from Alexandria via LeMat-Bulk describes crystalline ZnIn2Sb at its relaxed geometry. The functional is PBE.

Spin magnetization ... 0.00 μB per formula unit
DOS(E_F) ... 7.21 states/eV/cell

```
data_ZnIn2Sb
_chemical_formula_sum 'Zn4 In8 Sb4'
_space_group_name_H-M_alt 'F m -3 m'
_space_group_IT_number 225
_space_group_name_Hall '-F 4 2 3'
_cell_length_a 7.472
_cell_length_b 7.472
_cell_length_c 7.472
_cell_angle_alpha 90.00
_cell_angle_beta 90.00
_cell_angle_gamma 90.00
loop_
_atom_site_label
_atom_site_type_symbol
_atom_site_fract_x
_atom_site_fract_y
_atom_site_fract_z
_atom_site_occupancy
Zn1 Zn 0.000 0.000 0.000 1
In1 In 0.250 0.250 0.250 1
Sb1 Sb 0.000 0.000 0.500 1
```

Entry S
This record from Alexandria via LeMat-Bulk describes crystalline ZnIn2Sb at its relaxed geometry. The functional is PBE.

Spin magnetization ... 0.00 μB per formula unit
DOS(E_F) ... 1.44 states/eV/cell

```
data_ZnIn2Sb
_chemical_formula_sum 'Zn1 In2 Sb1'
_space_group_name_H-M_alt 'P 1 2/m 1'
_space_group_IT_number 10
_space_group_name_Hall '-P 2y'
_cell_length_a 3.351
_cell_length_b 4.841
_cell_length_c 6.265
_cell_angle_alpha 90.00
_cell_angle_beta 98.97
_cell_angle_gamma 90.00
loop_
_atom_site_label
_atom_site_type_symbol
_atom_site_fract_x
_atom_site_fract_y
_atom_site_fract_z
_atom_site_occupancy
Zn1 Zn 0.000 0.000 0.000 1
In1 In 0.390 0.500 0.235 1
Sb1 Sb 0.000 0.000 0.500 1
```

Q: Which of them is the least stable? A: entry S.

Entry P
This record from Alexandria via LeMat-Bulk describes crystalline ZnIn2Sb at its relaxed geometry. The functional is PBE.

Spin magnetization ... 0.00 μB per formula unit
DOS(E_F) ... 3.55 states/eV/cell

```
data_ZnIn2Sb
_chemical_formula_sum 'Zn2 In4 Sb2'
_space_group_name_H-M_alt 'C 1 2/m 1'
_space_group_IT_number 12
_space_group_name_Hall '-C 2y'
_cell_length_a 11.382
_cell_length_b 3.261
_cell_length_c 5.633
_cell_angle_alpha 90.00
_cell_angle_beta 109.31
_cell_angle_gamma 90.00
loop_
_atom_site_label
_atom_site_type_symbol
_atom_site_fract_x
_atom_site_fract_y
_atom_site_fract_z
_atom_site_occupancy
Zn1 Zn 0.000 0.000 0.000 1
In1 In 0.230 0.500 0.232 1
Sb1 Sb 0.000 0.500 0.500 1
```

Entry Q
This record from Alexandria via LeMat-Bulk describes crystalline ZnIn2Sb at its relaxed geometry. The functional is PBE.

Spin magnetization ... 0.00 μB per formula unit
DOS(E_F) ... 2.93 states/eV/cell

```
data_ZnIn2Sb
_chemical_formula_sum 'Zn2 In4 Sb2'
_space_group_name_H-M_alt 'C m m m'
_space_group_IT_number 65
_space_group_name_Hall '-C 2 2'
_cell_length_a 4.699
_cell_length_b 5.066
_cell_length_c 8.335
_cell_angle_alpha 90.00
_cell_angle_beta 90.00
_cell_angle_gamma 90.00
loop_
_atom_site_label
_atom_site_type_symbol
_atom_site_fract_x
_atom_site_fract_y
_atom_site_fract_z
_atom_site_occupancy
Zn1 Zn 0.000 0.000 0.000 1
In1 In 0.000 0.500 0.223 1
Sb1 Sb 0.000 0.000 0.500 1
```

Entry R
This record from Alexandria via LeMat-Bulk describes crystalline ZnIn2Sb at its relaxed geometry. The functional is PBE.

Spin magnetization ... 0.00 μB per formula unit
DOS(E_F) ... 3.99 states/eV/cell

```
data_ZnIn2Sb
_chemical_formula_sum 'Zn2 In4 Sb2'
_space_group_name_H-M_alt 'I m m m'
_space_group_IT_number 71
_space_group_name_Hall '-I 2 2'
_cell_length_a 3.391
_cell_length_b 5.475
_cell_length_c 10.657
_cell_angle_alpha 90.00
_cell_angle_beta 90.00
_cell_angle_gamma 90.00
loop_
_atom_site_label
_atom_site_type_symbol
_atom_site_fract_x
_atom_site_fract_y
_atom_site_fract_z
_atom_site_occupancy
Zn1 Zn 0.000 0.000 0.000 1
In1 In 0.000 0.500 0.273 1
Sb1 Sb 0.000 0.000 0.500 1
```

Q: Which of them is the least stable? A: entry R.

Entry P
This record from Alexandria via LeMat-Bulk describes crystalline ZnIn2Sb at its relaxed geometry. The functional is PBE.

Spin magnetization ... 0.00 μB per formula unit
DOS(E_F) ... 2.35 states/eV/cell

```
data_ZnIn2Sb
_chemical_formula_sum 'Zn2 In4 Sb2'
_space_group_name_H-M_alt 'C m m 2'
_space_group_IT_number 35
_space_group_name_Hall 'C 2 -2'
_cell_length_a 4.664
_cell_length_b 4.996
_cell_length_c 8.601
_cell_angle_alpha 90.00
_cell_angle_beta 90.00
_cell_angle_gamma 90.00
loop_
_atom_site_label
_atom_site_type_symbol
_atom_site_fract_x
_atom_site_fract_y
_atom_site_fract_z
_atom_site_occupancy
Zn1 Zn 0.000 0.000 0.000 1
In1 In 0.000 0.000 0.502 1
In2 In 0.000 0.500 0.785 1
Sb1 Sb 0.000 0.500 0.219 1
```

Entry Q
This record from Alexandria via LeMat-Bulk describes crystalline ZnIn2Sb at its relaxed geometry. The functional is PBE.

Spin magnetization ... 0.00 μB per formula unit
DOS(E_F) ... 4.81 states/eV/cell

```
data_ZnIn2Sb
_chemical_formula_sum 'Zn4 In8 Sb4'
_space_group_name_H-M_alt 'I -4 2 d'
_space_group_IT_number 122
_space_group_name_Hall 'I -4 2bw'
_cell_length_a 6.963
_cell_length_b 6.963
_cell_length_c 10.920
_cell_angle_alpha 90.00
_cell_angle_beta 90.00
_cell_angle_gamma 90.00
loop_
_atom_site_label
_atom_site_type_symbol
_atom_site_fract_x
_atom_site_fract_y
_atom_site_fract_z
_atom_site_occupancy
Zn1 Zn 0.000 0.000 0.000 1
In1 In 0.234 0.250 0.125 1
Sb1 Sb 0.000 0.000 0.500 1
```

Q: Which of them is the least stable? A: entry Q.

Entry P
This record from Alexandria via LeMat-Bulk describes crystalline ZnIn2Sb at its relaxed geometry. The functional is PBE.

Spin magnetization ... 0.00 μB per formula unit
DOS(E_F) ... 3.43 states/eV/cell

```
data_ZnIn2Sb
_chemical_formula_sum 'Zn3 In6 Sb3'
_space_group_name_H-M_alt 'R 3 m'
_space_group_IT_number 160
_space_group_name_Hall 'R 3 -2"'
_cell_length_a 4.4155
_cell_length_b 4.4155
_cell_length_c 18.9928
_cell_angle_alpha 90.00
_cell_angle_beta 90.00
_cell_angle_gamma 120.00
loop_
_atom_site_label
_atom_site_type_symbol
_atom_site_fract_x
_atom_site_fract_y
_atom_site_fract_z
_atom_site_occupancy
Zn1 Zn 0.0000 0.0000 0.0000 1
In1 In 0.0000 0.0000 0.4062 1
In2 In 0.0000 0.0000 0.5941 1
Sb1 Sb 0.0000 0.0000 0.8397 1
```

Entry Q
This record from Alexandria via LeMat-Bulk describes crystalline ZnIn2Sb at its relaxed geometry. The functional is PBE.

Spin magnetization ... 0.00 μB per formula unit
DOS(E_F) ... 3.96 states/eV/cell

```
data_ZnIn2Sb
_chemical_formula_sum 'Zn3 In6 Sb3'
_space_group_name_H-M_alt 'R -3 m'
_space_group_IT_number 166
_space_group_name_Hall '-R 3 2"'
_cell_length_a 3.4330
_cell_length_b 3.4330
_cell_length_c 29.0505
_cell_angle_alpha 90.00
_cell_angle_beta 90.00
_cell_angle_gamma 120.00
loop_
_atom_site_label
_atom_site_type_symbol
_atom_site_fract_x
_atom_site_fract_y
_atom_site_fract_z
_atom_site_occupancy
Zn1 Zn 0.0000 0.0000 0.0000 1
In1 In 0.0000 0.0000 0.2598 1
Sb1 Sb 0.0000 0.0000 0.5000 1
```

Entry R
This record from Alexandria via LeMat-Bulk describes crystalline ZnIn2Sb at its relaxed geometry. The functional is PBE.

Spin magnetization ... 0.00 μB per formula unit
DOS(E_F) ... 3.52 states/eV/cell

```
data_ZnIn2Sb
_chemical_formula_sum 'Zn2 In4 Sb2'
_space_group_name_H-M_alt 'I m m 2'
_space_group_IT_number 44
_space_group_name_Hall 'I 2 -2'
_cell_length_a 4.333
_cell_length_b 5.479
_cell_length_c 8.526
_cell_angle_alpha 90.00
_cell_angle_beta 90.00
_cell_angle_gamma 90.00
loop_
_atom_site_label
_atom_site_type_symbol
_atom_site_fract_x
_atom_site_fract_y
_atom_site_fract_z
_atom_site_occupancy
Zn1 Zn 0.000 0.000 0.000 1
In1 In 0.000 0.000 0.502 1
In2 In 0.000 0.500 0.732 1
Sb1 Sb 0.000 0.500 0.277 1
```

Entry S
This record from Alexandria via LeMat-Bulk describes crystalline ZnIn2Sb at its relaxed geometry. The functional is PBE.

Spin magnetization ... 0.00 μB per formula unit
DOS(E_F) ... 6.35 states/eV/cell

```
data_ZnIn2Sb
_chemical_formula_sum 'Zn4 In8 Sb4'
_space_group_name_H-M_alt 'F -4 3 m'
_space_group_IT_number 216
_space_group_name_Hall 'F -4 2 3'
_cell_length_a 7.393
_cell_length_b 7.393
_cell_length_c 7.393
_cell_angle_alpha 90.00
_cell_angle_beta 90.00
_cell_angle_gamma 90.00
loop_
_atom_site_label
_atom_site_type_symbol
_atom_site_fract_x
_atom_site_fract_y
_atom_site_fract_z
_atom_site_occupancy
Zn1 Zn 0.000 0.000 0.000 1
In1 In 0.000 0.000 0.500 1
In2 In 0.250 0.250 0.250 1
Sb1 Sb 0.250 0.250 0.750 1
```

Q: Which of them is the least stable? A: entry Q.